[1]
Entry from Alexandria: an optimized crystal structure of BeGaAu2Se (PBE).

Cell: 4.6646 4.5663 4.6646 Å, 90.00 90.00 90.00°
Closest atoms and distances in Å follow each position.
Atoms (fractional coordinates):
Be  0.0000  0.0000  0.0000  2 Se 2.28, 4 Au 2.33
Au  0.0000  0.0000  0.5000  2 Be 2.33
Au  0.5000  0.0000  0.0000  2 Be 2.33
Ga  0.5000  0.5000  0.5000  8 Au 3.26, 4 Se 3.30
Se  0.0000  0.5000  0.0000  2 Be 2.28

- formation energy from raw total energies (eV/atom) = 0.154

[2]
Entry from Alexandria: an optimized crystal structure of SmBe2GaAu4 (PBE).

Cell: 4.1512 4.1512 9.9473 Å, 77.96 77.96 60.00°
Closest atoms and distances in Å follow each position.
Atoms (fractional coordinates):
Sm  0.0000  0.0000  0.0000  6 Au 3.06
Be  0.7516  0.7516  0.7452  6 Au 2.46-2.64
Be  0.2484  0.2484  0.2548  6 Au 2.46-2.64
Ga  0.5000  0.5000  0.5000  8 Au 2.71-2.92
Au  0.3990  0.3990  0.8029  3 Be 2.46
Au  0.8770  0.8770  0.3690  3 Be 2.64, 3 Ga 2.71, 3 Au 2.92
Au  0.1230  0.1230  0.6310  3 Be 2.64, 3 Ga 2.71, 3 Au 2.92
Au  0.6010  0.6010  0.1971  3 Be 2.46

- E_form (eV/atom) = -0.281

[3]
Entry from Alexandria: an optimized crystal structure of Sm2BeGa3Au4 (PBE).

Cell: 4.3693 4.3693 10.3506 Å, 90.00 90.00 90.00°
Closest atoms and distances in Å follow each position.
Atoms (fractional coordinates):
Sm  0.5000  0.0000  0.2595  6 Ga 3.31-3.33, 2 Be 3.31, 8 Au 3.33-3.46
Sm  0.0000  0.5000  0.7405  2 Be 3.31, 6 Ga 3.31-3.33, 8 Au 3.33-3.46
Be  0.5000  0.5000  0.5000  4 Au 2.51
Ga  0.0000  0.0000  0.5000  4 Au 2.51
Ga  0.5000  0.0000  0.8610  5 Au 2.50-2.62
Ga  0.0000  0.5000  0.1390  5 Au 2.50-2.62
Au  0.5000  0.5000  0.0000  4 Ga 2.62
Au  0.0000  0.0000  0.0000  4 Ga 2.62
Au  0.5000  0.0000  0.6197  3 Ga 2.50-2.51, 2 Be 2.51
Au  0.0000  0.5000  0.3803  3 Ga 2.50-2.51, 2 Be 2.51

- E_form (eV/atom) = -0.572

[4]
Entry from Alexandria: an optimized crystal structure of SmBeGa2Au4 (PBE).

Cell: 4.4418 4.4418 9.0118 Å, 75.73 75.73 60.00°
Closest atoms and distances in Å follow each position.
Atoms (fractional coordinates):
Sm  0.0000  0.0000  0.0000  6 Au 3.15, 6 Ga 3.33
Be  0.5000  0.5000  0.5000  8 Au 2.49-2.65
Ga  0.7486  0.7486  0.7541  4 Au 2.58-2.85
Ga  0.2514  0.2514  0.2459  4 Au 2.58-2.85
Au  0.4040  0.4040  0.7881  1 Be 2.49, 3 Ga 2.58
Au  0.8588  0.8588  0.4237  3 Be 2.65, 1 Ga 2.85, 3 Au 2.88
Au  0.1412  0.1412  0.5763  3 Be 2.65, 1 Ga 2.85, 3 Au 2.88
Au  0.5960  0.5960  0.2119  1 Be 2.49, 3 Ga 2.58

- E_form (eV/atom) = -0.396

[5]
Entry from Alexandria: an optimized crystal structure of Sm2BeGaAu6 (PBE).

Cell: 6.3995 7.0918 6.3733 Å, 63.95 57.32 88.33°
Closest atoms and distances in Å follow each position.
Atoms (fractional coordinates):
Sm  0.7457  0.3113  0.4346  9 Au 3.05-3.41
Sm  0.2543  0.6887  0.5654  9 Au 3.05-3.41
Be  0.0000  0.0000  0.0000  6 Au 2.27-2.29
Ga  0.5000  0.5000  0.0000  6 Au 2.56-2.61
Au  0.1927  0.1619  0.5184  1 Be 2.27
Au  0.7643  0.7527  0.0132  1 Be 2.29, 1 Ga 2.56
Au  0.3221  0.8405  0.9642  1 Be 2.27
Au  0.6779  0.1595  0.0358  1 Be 2.27
Au  0.2357  0.2473  0.9868  1 Be 2.29, 1 Ga 2.56
Au  0.8073  0.8381  0.4816  1 Be 2.27

- E_form (eV/atom) = -0.462

[6]
Entry from Alexandria: an optimized crystal structure of Sm2Be3GaAu4 (PBE).

Cell: 4.3457 4.3457 9.4736 Å, 90.00 90.00 90.00°
Closest atoms and distances in Å follow each position.
Atoms (fractional coordinates):
Sm  0.5000  0.0000  0.2520  2 Ga 3.20, 7 Be 3.20-3.45, 8 Au 3.23
Sm  0.0000  0.5000  0.7480  7 Be 3.20-3.45, 2 Ga 3.20, 8 Au 3.23
Be  0.0000  0.0000  0.5000  4 Au 2.56
Be  0.5000  0.0000  0.8883  5 Au 2.33-2.42
Be  0.0000  0.5000  0.1117  5 Au 2.33-2.42
Ga  0.5000  0.5000  0.5000  4 Au 2.56
Au  0.5000  0.5000  0.0000  4 Be 2.42
Au  0.0000  0.0000  0.0000  4 Be 2.42
Au  0.5000  0.0000  0.6428  3 Be 2.33-2.56, 2 Ga 2.56
Au  0.0000  0.5000  0.3572  3 Be 2.33-2.56, 2 Ga 2.56

- E_form (eV/atom) = -0.502

[7]
Entry from Alexandria: an optimized crystal structure of SrBeGaAu2 (PBE).

Cell: 4.7650 4.7650 4.5213 Å, 90.00 90.00 90.00°
Closest atoms and distances in Å follow each position.
Atoms (fractional coordinates):
Sr  0.5000  0.5000  0.5000  8 Au 3.28, 4 Ga 3.37
Au  0.0000  0.5000  0.0000  2 Be 2.38
Au  0.5000  0.0000  0.0000  2 Be 2.38
Ga  0.0000  0.0000  0.5000  2 Be 2.26
Be  0.0000  0.0000  0.0000  2 Ga 2.26, 4 Au 2.38

- E_form (eV/atom) = -0.343

[8]
Entry from Alexandria: an optimized crystal structure of SrBeGa2Au4 (PBE).

Cell: 4.4455 4.4455 9.5576 Å, 76.55 76.55 60.00°
Closest atoms and distances in Å follow each position.
Atoms (fractional coordinates):
Sr  0.0000  0.0000  0.0000  6 Au 3.37, 6 Ga 3.48
Be  0.5000  0.5000  0.5000  8 Au 2.43-2.65
Ga  0.7516  0.7516  0.7453  3 Au 2.57
Ga  0.2484  0.2484  0.2547  3 Au 2.57
Au  0.4122  0.4122  0.7635  1 Be 2.43, 3 Ga 2.57
Au  0.8571  0.8571  0.4287  3 Be 2.65, 3 Au 2.88, 1 Ga 2.91
Au  0.1429  0.1429  0.5713  3 Be 2.65, 3 Au 2.88, 1 Ga 2.91
Au  0.5878  0.5878  0.2365  1 Be 2.43, 3 Ga 2.57

- E_form (eV/atom) = -0.352

no.,total moment (μB/f.u.)
1,0.000
2,0.000
3,0.000
4,0.000
5,0.000
6,0.000
7,0.000
8,0.000